# 1
Density functional theory data (PBE) for a relaxed W2AuBr crystal.

Values from the calculation:
- ΔE_f (raw): 897 meV per atom
- Magnetization: 0.00 μB/f.u.
- VASP energy: -6.817 eV per atom
- Energy above the most stable polymorph in this dataset: 0.346 eV/atom

```
data_W2AuBr
_chemical_formula_sum 'W4 Au2 Br2'
_space_group_name_H-M_alt 'A m m 2'
_space_group_IT_number 38
_space_group_name_Hall 'A 2 -2'
_cell_length_a 4.519
_cell_length_b 2.902
_cell_length_c 10.598
_cell_angle_alpha 90.00
_cell_angle_beta 90.00
_cell_angle_gamma 90.00
loop_
_atom_site_label
_atom_site_fract_x
_atom_site_fract_y
_atom_site_fract_z
W1 0.000 0.000 0.000
W2 0.500 0.000 0.382
Au1 0.500 0.000 0.635
Br1 0.000 0.000 0.262
```

# 2
Density functional theory data (PBE) for a relaxed FeCoNi2 crystal.

Values from the calculation:
- ΔE_f: -0.0408 eV per atom
- Magnetization: 5.72 μB/f.u.
- VASP energy: -6.824 eV per atom

```
data_FeCoNi2
_chemical_formula_sum 'Fe2 Co2 Ni4'
_space_group_name_H-M_alt 'C m m m'
_space_group_IT_number 65
_space_group_name_Hall '-C 2 2'
_cell_length_a 4.977
_cell_length_b 7.202
_cell_length_c 2.482
_cell_angle_alpha 90.00
_cell_angle_beta 90.00
_cell_angle_gamma 90.00
loop_
_atom_site_label
_atom_site_fract_x
_atom_site_fract_y
_atom_site_fract_z
Fe1 0.000 0.000 0.000
Co1 0.000 0.500 0.000
Ni1 0.250 0.250 0.500
```

# 3
Density functional theory data (PBE) for a relaxed Al2GaPd crystal.

Values from the calculation:
- ΔE_f: -0.4171 eV per atom
- Magnetization: 0.00 μB/f.u.
- VASP energy: -4.343 eV per atom

```
data_Al2GaPd
_chemical_formula_sum 'Al4 Ga2 Pd2'
_space_group_name_H-M_alt 'P 1 21/m 1'
_space_group_IT_number 11
_space_group_name_Hall '-P 2yb'
_cell_length_a 3.268
_cell_length_b 8.423
_cell_length_c 4.976
_cell_angle_alpha 90.00
_cell_angle_beta 106.43
_cell_angle_gamma 90.00
loop_
_atom_site_label
_atom_site_fract_x
_atom_site_fract_y
_atom_site_fract_z
Al1 0.142 0.034 0.269
Ga1 0.426 0.250 0.911
Pd1 0.280 0.750 0.533
```

# 4
Density functional theory data (PBE) for a relaxed TiSbW2Cl crystal.

Values from the calculation:
- ΔE_f (raw): 2200 meV per atom
- Magnetization: 0.04 μB/f.u.
- VASP energy: -5.755 eV per atom

```
data_TiSbW2Cl
_chemical_formula_sum 'Ti1 Sb1 W2 Cl1'
_space_group_name_H-M_alt 'P 4/m m m'
_space_group_IT_number 123
_space_group_name_Hall '-P 4 2'
_cell_length_a 4.979
_cell_length_b 4.979
_cell_length_c 5.160
_cell_angle_alpha 90.00
_cell_angle_beta 90.00
_cell_angle_gamma 90.00
loop_
_atom_site_label
_atom_site_fract_x
_atom_site_fract_y
_atom_site_fract_z
Ti1 0.000 0.000 0.000
Sb1 0.000 0.000 0.500
W1 0.000 0.500 0.500
Cl1 0.500 0.500 0.000
```